1.
A plane-wave DFT calculation with PBE was carried out for a relaxed structure of CePrSnAu.

The structure in CIF format:
```
data_CePrSnAu
_cell_length_a 7.646
_cell_length_b 7.646
_cell_length_c 7.646
_cell_angle_alpha 90.00
_cell_angle_beta 90.00
_cell_angle_gamma 90.00
_symmetry_space_group_name_H-M 'F -4 3 m'
_symmetry_Int_Tables_number 216
_symmetry_space_group_name_Hall 'F -4 2 3'
loop_
_atom_site_label
_atom_site_type_symbol
_atom_site_fract_x
_atom_site_fract_y
_atom_site_fract_z
Ce1 Ce 0.000 0.000 0.000
Pr1 Pr 0.000 0.000 0.500
Sn1 Sn 0.250 0.250 0.750
Au1 Au 0.250 0.250 0.250
```

Results
Electronic total energy   -81.941 eV/cell
Formation enthalpy at 0 K   -0.623 eV/atom
DOS(E_F)   2.331 states/eV per atom


2.
A plane-wave DFT calculation with PBE was carried out for a relaxed structure of Ce2PrSn2Au2.

The structure in CIF format:
```
data_Ce2PrSn2Au2
_cell_length_a 4.7413
_cell_length_b 4.7413
_cell_length_c 27.7777
_cell_angle_alpha 90.00
_cell_angle_beta 90.00
_cell_angle_gamma 120.00
_symmetry_space_group_name_H-M 'R -3 m'
_symmetry_Int_Tables_number 166
_symmetry_space_group_name_Hall '-R 3 2"'
loop_
_atom_site_label
_atom_site_type_symbol
_atom_site_fract_x
_atom_site_fract_y
_atom_site_fract_z
Ce1 Ce 0.0000 0.0000 0.1427
Pr1 Pr 0.0000 0.0000 0.0000
Sn1 Sn 0.0000 0.0000 0.2667
Au1 Au 0.0000 0.0000 0.4308
```

Results
Electronic total energy   -106.145 eV/cell
Formation enthalpy at 0 K   -0.596 eV/atom
DOS(E_F)   1.955 states/eV per atom